(1)
## Li2TaIn (GGA-PBE)

Data for a relaxed Li2TaIn crystal.

Computed properties:
N(E_F): 0.86 states/eV per atom
Total energy: -3.914 eV/atom

```
Li2TaIn
1.0
-3.610 3.610 2.816
3.610 -3.610 2.816
3.610 3.610 -2.816
Li Ta In
4 2 2
Cartesian
5.414 1.703 -0.704
1.703 1.805 0.704
-1.805 1.907 2.112
1.907 1.805 3.520
3.610 0.000 1.408
0.000 0.000 2.816
0.000 0.000 0.000
0.000 3.610 1.408
```

(2)
## Er2ZrGa3Pt4 (GGA-PBE)

Data for a relaxed Er2ZrGa3Pt4 crystal.

Computed properties:
N(E_F): 0.67 states/eV per atom
Total energy: -6.048 eV/atom

```
Er2ZrGa3Pt4
1.0
4.088 0.000 0.000
0.000 4.088 0.000
0.000 0.000 11.508
Er Zr Ga Pt
2 1 3 4
Cartesian
0.000 2.044 2.701
2.044 0.000 8.807
0.000 0.000 5.754
0.000 2.044 9.999
2.044 0.000 1.509
2.044 2.044 5.754
0.000 0.000 0.000
0.000 2.044 7.537
2.044 0.000 3.971
2.044 2.044 0.000
```

(3)
## BaZn2Cu (GGA-PBE)

Data for a relaxed BaZn2Cu crystal.

Computed properties:
N(E_F): 1.01 states/eV per atom
Total energy: -1.992 eV/atom

```
BaZn2Cu
1.0
0.000 3.618 3.618
3.618 0.000 3.618
3.618 3.618 0.000
Ba Zn Cu
1 2 1
Cartesian
0.000 0.000 0.000
1.809 1.809 1.809
5.427 5.427 5.427
3.618 3.618 3.618
```